# MgTi3O PBE-GGA optimized geometry
data_MgTi3O
_chemical_formula_sum 'Mg1 Ti3 O1'
_cell_length_a 4.196
_cell_length_b 4.196
_cell_length_c 4.196
_cell_angle_alpha 90.00
_cell_angle_beta 90.00
_cell_angle_gamma 90.00
_space_group_name_H-M_alt 'P m -3 m'
_space_group_IT_number 221
_space_group_name_Hall '-P 4 2 3'
loop_
_atom_site_label
_atom_site_type_symbol
_atom_site_fract_x
_atom_site_fract_y
_atom_site_fract_z
_atom_site_occupancy
Mg1 Mg 0.000 0.000 0.000 1
Ti1 Ti 0.000 0.500 0.500 1
O1 O 0.500 0.500 0.500 1
# Formation energy without anion corrections, eV/atom: -0.967